# CoBi3O7 GGA+U relaxed
data_CoBi3O7
_chemical_formula_sum 'Co4 Bi12 O28'
_space_group_name_H-M_alt 'C 2 2 21'
_space_group_IT_number 20
_cell_length_a 7.759
_cell_length_b 10.521
_cell_length_c 7.442
_cell_angle_alpha 90.00
_cell_angle_beta 90.00
_cell_angle_gamma 90.00
loop_
_space_group_symop_operation_xyz
'x,y,z'
'-x,-y,z+1/2'
'x,-y,-z'
'-x,y,-z+1/2'
'x+1/2,y+1/2,z'
'-x+1/2,-y+1/2,z+1/2'
'x+1/2,-y+1/2,-z'
'-x+1/2,y+1/2,-z+1/2'
loop_
_atom_site_label
_atom_site_type_symbol
_atom_site_fract_x
_atom_site_fract_y
_atom_site_fract_z
Co1 Co 0.007 0.000 0.000
Bi1 Bi 0.042 0.500 0.000
Bi2 Bi 0.229 0.228 0.242
O1 O 0.000 0.070 0.250
O2 O 0.000 0.354 0.250
O3 O 0.000 0.357 0.750
O4 O 0.183 0.133 0.964
O5 O 0.205 0.122 0.532
# Energy in eV/atom: -5.68